! YFe2BiO6 | the Alexandria database | PBE with a Hubbard U | optimized geometry; values from VASP
! * space group: P2_1/c, No. 14
! * magnetization: 16.00 μB per cell
! * calculated total energy: -6.836 eV/atom
&SYSTEM
  ibrav = 0, nat = 20, ntyp = 4
/
ATOMIC_SPECIES
Fe 55.84 Fe.upf
O 16.00 O.upf
Bi 208.98 Bi.upf
Y 88.91 Y.upf
ATOMIC_POSITIONS angstrom
Fe -3.8976 -4.4938 -4.4770
Fe -3.0362 0.0772 -7.5293
Fe -2.0359 -0.5762 -3.8301
Fe -2.8974 -5.1472 -0.7778
O -2.1270 -2.8202 -1.5597
O -3.2427 0.2214 -5.4006
O -5.8281 -5.1277 -4.1309
O -3.8066 -2.2498 -6.7474
O -4.4240 -2.6403 -3.7002
O -0.1054 0.0577 -4.1762
O -3.5155 -0.1981 -2.3259
O -0.6203 -0.3646 -1.3500
O -1.5095 -2.4297 -4.6068
O -5.3133 -4.7054 -6.9570
O -2.4181 -4.8719 -5.9811
O -2.6909 -5.2913 -2.9064
Bi 1.1794 -0.3653 -2.5411
Bi -4.1462 -2.1697 -1.6124
Y -2.1671 1.3632 -1.2018
Y -0.7997 -3.8982 -2.9517
CELL_PARAMETERS angstrom
-4.3342 2.7264 -2.4035
2.3588 -0.7307 -5.0823
-3.9581 -7.0658 -0.8212